Entry 1:
{"formula": "ReGe2PdPb", "functional": "meta-GGA SCAN", "state": "single point on PBEsol structure", "crystal_system": "tetragonal", "m_tot_mub_per_fu": 0.000, "delta_e_f_mev_per_atom": 596.7, "cell": [[4.716, 0.000, 0.000], [0.000, 4.716, 0.000], [0.000, 0.000, 5.279]], "species": ["Re", "Ge", "Ge", "Pd", "Pb"], "fractional_positions": [[0.000, 0.000, 0.000], [0.000, 0.500, 0.000], [0.500, 0.000, 0.000], [0.500, 0.500, 0.500], [0.000, 0.000, 0.500]]}

Entry 2:
{"formula": "Ge2PtPbS", "functional": "meta-GGA SCAN", "state": "single point on PBEsol structure", "crystal_system": "tetragonal", "m_tot_mub_per_fu": 0.000, "raw_formation_energy_mev_per_atom": 822.2, "cell": [[4.619, 0.000, 0.000], [0.000, 4.619, 0.000], [0.000, 0.000, 5.317]], "species": ["Ge", "Ge", "Pt", "Pb", "S"], "fractional_positions": [[0.000, 0.500, 0.000], [0.500, 0.000, 0.000], [0.000, 0.000, 0.500], [0.500, 0.500, 0.500], [0.500, 0.500, 0.000]]}